Material: KSrAl2Re
Method: DFT, GGA-PBE
State: optimized geometry

## Properties
energy of formation = 11.1 eV per formula unit
density = 3.8 Mg/m³
uncorrected energy = -2.33 eV per atom

Cell: 5.367 5.367 5.580 Å, 90.00 90.00 90.00°
Atoms (fractional coordinates):
K (0.000, 0.000, 0.000)
Sr (0.000, 0.000, 0.500)
Al (0.000, 0.500, 0.000)
Al (0.500, 0.000, 0.000)
Re (0.500, 0.500, 0.500)

Material: KAl2ReTe
Method: DFT, GGA-PBE
State: optimized geometry

## Properties
density = 4.2 Mg/m³
formation energy from raw total energies = 1305 meV/atom
uncorrected energy = -3.53 eV per atom

Cell: 5.639 5.639 5.028 Å, 90.00 90.00 90.00°
Atoms (fractional coordinates):
K (0.000, 0.000, 0.000)
Al (0.000, 0.500, 0.500)
Al (0.500, 0.000, 0.500)
Re (0.500, 0.500, 0.000)
Te (0.500, 0.500, 0.500)

Material: KAlRh2
Method: DFT, GGA-PBE
State: optimized geometry

## Properties
energy of formation = 0.6 eV per formula unit
density = 5.9 Mg/m³
uncorrected energy = -4.74 eV per atom

Cell: 2.887 2.887 9.115 Å, 90.00 90.00 90.00°
Atoms (fractional coordinates):
K (0.000, 0.000, 0.000)
Al (0.500, 0.500, 0.661)
Rh (0.000, 0.000, 0.486)
Rh (0.500, 0.500, 0.290)

Material: KAlRh2
Method: DFT, GGA-PBE
State: optimized geometry

## Properties
energy of formation = 0.7 eV per formula unit
density = 6.1 Mg/m³
uncorrected energy = -4.70 eV per atom

Cell: 5.614 5.614 5.614 Å, 150.01 122.33 66.36°
Atoms (fractional coordinates):
K (0.000, 0.000, 0.000)
Al (0.500, 0.500, 0.000)
Rh (0.292, 0.792, 0.500)
Rh (0.708, 0.208, 0.500)